Density functional theory data (GGA+U) for a geometry-optimized ZnNi2O4 structure.

Geometry as POSCAR:
```
ZnNi2O4
1.0
5.6962 0.0000 0.0000
0.0000 10.1204 0.0000
0.0000 0.0000 5.0330
Zn Ni O
4 8 16
direct
0.2500 0.2500 0.0094
0.2500 0.7500 0.3351
0.7500 0.2500 0.6649
0.7500 0.7500 0.9906
0.0000 0.0000 0.5000
0.0000 0.5000 0.5000
0.2500 0.5140 0.9872
0.2500 0.9860 0.9872
0.5000 0.0000 0.5000
0.5000 0.5000 0.5000
0.7500 0.0140 0.0128
0.7500 0.4860 0.0128
0.0033 0.1160 0.8348
0.0033 0.3840 0.8348
0.2500 0.0956 0.3131
0.2500 0.4044 0.3131
0.2500 0.6028 0.6333
0.2500 0.8972 0.6333
0.4967 0.1160 0.8348
0.4967 0.3840 0.8348
0.5033 0.6160 0.1652
0.5033 0.8840 0.1652
0.7500 0.1028 0.3667
0.7500 0.3972 0.3667
0.7500 0.5956 0.6869
0.7500 0.9044 0.6869
0.9967 0.6160 0.1652
0.9967 0.8840 0.1652
```

Properties
V (Å³/f.u.): 72.5
Theoretical density (g/cm3): 5.65
Magnetization (μB/cell): 8.00
Energy above the most stable polymorph in this dataset (meV per atom): 130.1
D(E_F) (states/eV per cell): 11.70